VASP calculation (GGA-PBE) on an optimized crystal structure of ScCuNiB.

CIF file:
```
data_ScCuNiB
_chemical_formula_sum 'Sc4 Cu4 Ni4 B4'
_symmetry_space_group_name_H-M 'F -4 3 m'
_symmetry_Int_Tables_number 216
_symmetry_space_group_name_Hall 'F -4 2 3'
_cell_length_a 5.7645
_cell_length_b 5.7645
_cell_length_c 5.7645
_cell_angle_alpha 90.00
_cell_angle_beta 90.00
_cell_angle_gamma 90.00
loop_
_atom_site_label
_atom_site_type_symbol
_atom_site_fract_x
_atom_site_fract_y
_atom_site_fract_z
Sc1 Sc 0.0000 0.0000 0.0000
Cu1 Cu 0.2500 0.2500 0.7500
Ni1 Ni 0.2500 0.2500 0.2500
B1 B 0.0000 0.0000 0.5000
```

mass density	6.172	g cm⁻³
total energy	-5.480	eV per atom
M_tot	0.00	μB per formula unit